Computed, not measured: an optimized crystal structure of ErScPa2C4 at the GGA-PBE level of DFT.

Lattice parameters (Å, degrees): 7.0994 7.0994 7.0808 119.91 119.91 90.08
Fractional coordinates of all 16 atoms:
1 Er 0.0000 0.5000 0.0000
2 Er 0.0000 0.5000 0.5000
3 Sc 0.5000 0.5000 0.5000
4 Sc 0.0000 0.0000 0.0000
5 Pa 0.5000 0.0000 0.0000
6 Pa 0.5000 0.0000 0.5000
7 Pa 0.0000 0.0000 0.5000
8 Pa 0.5000 0.5000 0.0000
9 C 0.2655 0.7581 0.0118
10 C 0.7419 0.2345 0.4882
11 C 0.2581 0.7655 0.5118
12 C 0.7345 0.2419 0.9882
13 C 0.7449 0.7553 0.0063
14 C 0.7447 0.7551 0.4937
15 C 0.2553 0.2449 0.5063
16 C 0.2551 0.2447 0.9937

Values from the calculation:
DOS at the Fermi energy   4.7 states/eV/f.u.
Crystal system   orthorhombic
Space-group type   Imma
Total magnetic moment   0.00 μB per cell
Energy relative to the elements   -0.421 eV per atom
E_tot   -8.769 eV/atom


Computed, not measured: an optimized crystal structure of ErPaCSe at the GGA-PBE level of DFT.

Lattice parameters (Å, degrees): 3.6468 3.6475 7.1592 90.00 104.76 120.00
Fractional coordinates of all 4 atoms:
1 Er 0.1050 0.9504 0.0706
2 Pa 0.5063 0.1511 0.6725
3 C 0.3010 0.5484 0.8650
4 Se 0.9656 0.3808 0.3615

Values from the calculation:
DOS at the Fermi energy   3.0 states/eV/f.u.
Crystal system   trigonal
Formation energy from raw total energies   -97.1 kJ per mole of atoms
Space-group type   R3m
Total magnetic moment   0.00 μB per cell
E_tot   -7.698 eV/atom


Computed, not measured: an optimized crystal structure of Er2PaTaC4 at the GGA-PBE level of DFT.

Lattice parameters (Å, degrees): 6.9116 6.9116 6.9672 120.27 120.27 90.07
Fractional coordinates of all 16 atoms:
1 Er 0.5000 0.0000 0.0000
2 Er 0.5000 0.0000 0.5000
3 Er 0.0000 0.0000 0.5000
4 Er 0.5000 0.5000 0.0000
5 Pa 0.0000 0.5000 0.0000
6 Pa 0.0000 0.5000 0.5000
7 Ta 0.5000 0.5000 0.5000
8 Ta 0.0000 0.0000 0.0000
9 C 0.2224 0.7570 0.9897
10 C 0.7430 0.2776 0.5103
11 C 0.2570 0.7224 0.4897
12 C 0.7776 0.2430 0.0103
13 C 0.7531 0.7469 0.9767
14 C 0.7531 0.7469 0.5233
15 C 0.2469 0.2531 0.4767
16 C 0.2469 0.2531 0.0233

Values from the calculation:
DOS at the Fermi energy   1.1 states/eV/f.u.
Crystal system   orthorhombic
Space-group type   Imma
Total magnetic moment   0.00 μB per cell
Energy relative to the elements   -0.461 eV per atom
E_tot   -8.882 eV/atom


Computed, not measured: an optimized crystal structure of ErPa2TaC4 at the GGA-PBE level of DFT.

Lattice parameters (Å, degrees): 6.9416 6.9416 6.9992 120.27 120.27 90.10
Fractional coordinates of all 16 atoms:
1 Er 0.0000 0.5000 0.0000
2 Er 0.0000 0.5000 0.5000
3 Pa 0.5000 0.0000 0.0000
4 Pa 0.5000 0.0000 0.5000
5 Pa 0.0000 0.0000 0.5000
6 Pa 0.5000 0.5000 0.0000
7 Ta 0.5000 0.5000 0.5000
8 Ta 0.0000 0.0000 0.0000
9 C 0.2456 0.7694 0.0075
10 C 0.7306 0.2544 0.4925
11 C 0.2694 0.7456 0.5075
12 C 0.7544 0.2306 0.9925
13 C 0.7491 0.7509 0.9805
14 C 0.7491 0.7509 0.5195
15 C 0.2509 0.2491 0.4805
16 C 0.2509 0.2491 0.0195

Values from the calculation:
DOS at the Fermi energy   4.7 states/eV/f.u.
Crystal system   orthorhombic
Space-group type   Imma
Total magnetic moment   0.00 μB per cell
Energy relative to the elements   -0.461 eV per atom
E_tot   -9.499 eV/atom


Computed, not measured: an optimized crystal structure of ErPaTaC3 at the GGA-PBE level of DFT.

Lattice parameters (Å, degrees): 3.4197 5.8619 8.8821 102.52 90.00 90.00
Fractional coordinates of all 12 atoms:
1 Er 0.2500 0.7686 0.0525
2 Er 0.7500 0.2314 0.9475
3 Pa 0.7500 0.6476 0.6902
4 Pa 0.2500 0.3524 0.3098
5 Ta 0.2500 0.1331 0.6340
6 Ta 0.7500 0.8669 0.3660
7 C 0.2500 0.7566 0.4848
8 C 0.7500 0.0626 0.1835
9 C 0.7500 0.5601 0.1863
10 C 0.7500 0.2434 0.5152
11 C 0.2500 0.4399 0.8137
12 C 0.2500 0.9374 0.8165

Values from the calculation:
DOS at the Fermi energy   2.8 states/eV/f.u.
Crystal system   monoclinic
Space-group type   P2_1/m
Total magnetic moment   0.00 μB per cell
Energy relative to the elements   -0.452 eV per atom
E_tot   -9.382 eV/atom


Computed, not measured: an optimized crystal structure of ErPaTe2C at the GGA-PBE level of DFT.

Lattice parameters (Å, degrees): 4.1363 4.1363 15.6443 90.00 90.00 90.00
Fractional coordinates of all 10 atoms:
1 Er 0.5000 0.0000 0.1303
2 Er 0.0000 0.5000 0.8697
3 Pa 0.5000 0.0000 0.5699
4 Pa 0.0000 0.5000 0.4301
5 Te 0.0000 0.5000 0.6854
6 Te 0.0000 0.5000 0.0842
7 Te 0.5000 0.0000 0.9158
8 Te 0.5000 0.0000 0.3146
9 C 0.0000 0.0000 0.5000
10 C 0.5000 0.5000 0.5000

Values from the calculation:
DOS at the Fermi energy   1.8 states/eV/f.u.
Crystal system   tetragonal
Formation energy from raw total energies   -89.6 kJ per mole of atoms
Space-group type   P4/nmm
Total magnetic moment   0.00 μB per cell
E_tot   -6.842 eV/atom